{"formula": "PuFeSbO6", "functional": "GGA+U", "state": "relaxed", "magnetic_moment_mub_per_cell": 2.00, "energy_ev_per_cell": -140.9, "cell": [[5.287, 0.000, 0.000], [-2.643, 4.578, 0.000], [0.000, 0.000, 9.145]], "species": ["Pu", "Pu", "Fe", "Fe", "Sb", "Sb", "O", "O", "O", "O", "O", "O", "O", "O", "O", "O", "O", "O"], "frac_coords": [[0.333, 0.667, 0.250], [0.667, 0.333, 0.750], [0.333, 0.667, 0.750], [0.667, 0.333, 0.250], [0.000, 0.000, 0.000], [0.000, 0.000, 0.500], [0.018, 0.329, 0.625], [0.018, 0.689, 0.875], [0.311, 0.329, 0.875], [0.311, 0.982, 0.625], [0.329, 0.018, 0.125], [0.329, 0.311, 0.375], [0.671, 0.689, 0.625], [0.671, 0.982, 0.875], [0.689, 0.018, 0.375], [0.689, 0.671, 0.125], [0.982, 0.311, 0.125], [0.982, 0.671, 0.375]]}